(1)
CaPr3Dy2 | GGA-PBE | optimized geometry

Summary:
DOS(E_F)   38.4 states/eV per cell
DFT formation energy   1.124 eV/f.u.

Geometry as CIF:
```
data_CaPr3Dy2
_chemical_formula_sum 'Ca4 Pr12 Dy8'
_cell_length_a 12.418
_cell_length_b 10.191
_cell_length_c 6.765
_cell_angle_alpha 90.00
_cell_angle_beta 90.05
_cell_angle_gamma 90.00
_symmetry_space_group_name_H-M 'C 1 2/m 1'
_symmetry_Int_Tables_number 12
loop_
_symmetry_equiv_pos_as_xyz
'x,y,z'
'-x,-y,-z'
'-x,y,-z'
'x,-y,z'
'x+1/2,y+1/2,z'
'-x+1/2,-y+1/2,-z'
'-x+1/2,y+1/2,-z'
'x+1/2,-y+1/2,z'
loop_
_atom_site_label
_atom_site_fract_x
_atom_site_fract_y
_atom_site_fract_z
_atom_site_occupancy
Ca1 0.020 0.000 0.250 1
Pr1 0.213 0.500 0.750 1
Pr2 0.247 0.171 0.750 1
Dy1 0.000 0.328 0.000 1
Dy2 0.000 0.328 0.500 1
```



(2)
YW3 | GGA-PBE | optimized geometry

Summary:
DOS(E_F)   7.5 states/eV per cell
DFT formation energy   1.574 eV/f.u.
Offset from the most stable computed form   6 meV per atom

Geometry as CIF:
```
data_YW3
_chemical_formula_sum 'Y2 W6'
_cell_length_a 3.261
_cell_length_b 4.668
_cell_length_c 9.564
_cell_angle_alpha 90.00
_cell_angle_beta 90.00
_cell_angle_gamma 90.00
_symmetry_space_group_name_H-M 'C m m m'
_symmetry_Int_Tables_number 65
_symmetry_space_group_name_Hall '-C 2 2'
loop_
_atom_site_label
_atom_site_fract_x
_atom_site_fract_y
_atom_site_fract_z
_atom_site_occupancy
Y1 0.000 0.000 0.000 1
W1 0.000 0.000 0.500 1
W2 0.000 0.500 0.275 1
```



| no. | uncorrected energy (eV/atom) | magnetization (μB/atom) | V (A^3/atom) |
| --- | --- | --- | --- |
| 1 | -4.07 | 0.00 | 35.67 |
| 2 | -10.94 | 0.00 | 18.20 |